# MgZn4Co6O16, optimized geometry, DFT PBE with a Hubbard U
data_MgZn4Co6O16
_space_group_name_H-M_alt 'P 1'
_space_group_IT_number 1
_cell_length_a 5.7478
_cell_length_b 5.7578
_cell_length_c 10.0114
_cell_angle_alpha 99.92
_cell_angle_beta 96.85
_cell_angle_gamma 119.06
loop_
_space_group_symop_operation_xyz
'x,y,z'
loop_
_atom_site_label
_atom_site_type_symbol
_atom_site_fract_x
_atom_site_fract_y
_atom_site_fract_z
Mg1 Mg 0.0000 0.0000 0.0000
Zn1 Zn 0.1007 0.4353 0.5275
Zn2 Zn 0.2850 0.6450 0.9270
Zn3 Zn 0.6077 0.5413 0.1387
Zn4 Zn 0.7154 0.7125 0.4375
Co1 Co 0.1445 0.6177 0.2521
Co2 Co 0.1468 0.1201 0.2654
Co3 Co 0.2106 0.0517 0.7419
Co4 Co 0.6354 0.1091 0.2532
Co5 Co 0.6979 0.5391 0.7418
Co6 Co 0.7011 0.0512 0.7446
O1 O 0.0709 0.7835 0.8475
O2 O 0.0735 0.2374 0.8585
O3 O 0.3223 0.4943 0.3730
O4 O 0.3351 0.3212 0.6486
O5 O 0.3406 0.8553 0.6473
O6 O 0.3622 0.9966 0.3527
O7 O 0.3922 0.1811 0.1424
O8 O 0.4119 0.7329 0.1380
O9 O 0.5826 0.2704 0.8462
O10 O 0.6251 0.7897 0.8571
O11 O 0.8023 0.3159 0.6475
O12 O 0.8234 0.8278 0.6423
O13 O 0.8661 0.4910 0.3601
O14 O 0.8712 0.0423 0.3699
O15 O 0.9291 0.2256 0.1545
O16 O 0.9692 0.7583 0.1389
# Final energy: -5.42 eV per atom
# Volume: 277 Å³/f.u.